The following is a DFT calculation (PBEsol) of a relaxed NaCeSe2 crystal.

a = 4.2250 Å, b = 4.2250 Å, c = 7.2771 Å
α = 73.12°, β = 73.12°, γ = 60.00°
Closest atoms and distances in Å follow each position.
Positions (direct):
Na (0.5000, 0.5000, 0.5000)  6 Se 3.04
Se (0.2545, 0.2545, 0.2365)  3 Ce 2.93, 3 Na 3.04
Se (0.7455, 0.7455, 0.7635)  3 Ce 2.93, 3 Na 3.04
Ce (0.0000, 0.0000, 0.0000)  6 Se 2.93

Summary:
Symmetry = No. 166
ΔE_f (raw) = -1.55 eV per atom
Fermi-level density of states = 7.203 states/eV/f.u.



The following is a DFT calculation (PBEsol) of a relaxed NaCe2Se3 crystal.

a = 4.1381 Å, b = 5.8570 Å, c = 7.2655 Å
α = 113.77°, β = 106.55°, γ = 90.00°
Closest atoms and distances in Å follow each position.
Positions (direct):
Na (0.0000, 0.0000, 0.0000)  6 Se 2.93-2.98
Ce (0.6649, 0.6649, 0.3298)  6 Se 2.93-2.94
Ce (0.3351, 0.3351, 0.6702)  6 Se 2.93-2.94
Se (0.0000, 0.5000, 0.0000)  2 Na 2.93, 4 Ce 2.94
Se (0.6693, 0.1693, 0.3387)  4 Ce 2.93-2.94, 2 Na 2.98
Se (0.3307, 0.8307, 0.6613)  4 Ce 2.93-2.94, 2 Na 2.98

Summary:
Symmetry = No. 71
ΔE_f (raw) = -1.61 eV per atom
Fermi-level density of states = 13.391 states/eV/f.u.



The following is a DFT calculation (PBEsol) of a relaxed NaCeTl2 crystal.

a = 5.3012 Å, b = 5.3012 Å, c = 5.3012 Å
α = 60.00°, β = 60.00°, γ = 60.00°
Closest atoms and distances in Å follow each position.
Positions (direct):
Na (0.0000, 0.0000, 0.0000)  8 Tl 3.25
Tl (0.7500, 0.7500, 0.7500)  4 Na 3.25, 4 Ce 3.25
Tl (0.2500, 0.2500, 0.2500)  4 Ce 3.25, 4 Na 3.25
Ce (0.5000, 0.5000, 0.5000)  8 Tl 3.25

Summary:
Symmetry = No. 225
Energy of formation = -177 meV/atom
Fermi-level density of states = 6.887 states/eV/f.u.



The following is a DFT calculation (PBEsol) of a relaxed Ce2Nb2S7O30 crystal.

a = 7.0911 Å, b = 12.7541 Å, c = 12.7541 Å
α = 90.00°, β = 90.00°, γ = 90.00°
Closest atoms and distances in Å follow each position.
Positions (direct):
Ce (0.5950, 0.7990, 0.7010)  8 O 2.22-2.46
Ce (0.4050, 0.7010, 0.2010)  8 O 2.22-2.46
Ce (0.5950, 0.2010, 0.2990)  8 O 2.22-2.46
Ce (0.4050, 0.2990, 0.7990)  8 O 2.22-2.46
Nb (0.9884, 0.6393, 0.8607)  3 O 1.80-1.95
Nb (0.0116, 0.8607, 0.3607)  3 O 1.80-1.95
Nb (0.9884, 0.3607, 0.1393)  3 O 1.80-1.95
Nb (0.0116, 0.1393, 0.6393)  3 O 1.80-1.95
S (0.3473, 0.5000, 0.0000)  4 O 1.47-1.48
S (0.6527, 0.0000, 0.5000)  4 O 1.47-1.48
S (0.8913, 0.3778, 0.8778)  4 O 1.45-1.50
S (0.1087, 0.1222, 0.3778)  4 O 1.45-1.50
S (0.8913, 0.6222, 0.1222)  4 O 1.45-1.50
S (0.1087, 0.8778, 0.6222)  4 O 1.45-1.50
S (0.3095, 0.5657, 0.6767)  4 O 1.42-1.56
S (0.6905, 0.9343, 0.1767)  4 O 1.42-1.56
S (0.3095, 0.4343, 0.3233)  4 O 1.42-1.56
S (0.6905, 0.0657, 0.8233)  4 O 1.42-1.56
S (0.6905, 0.6767, 0.4343)  4 O 1.42-1.56
S (0.3095, 0.8233, 0.9343)  4 O 1.42-1.56
S (0.6905, 0.3233, 0.5657)  4 O 1.42-1.56
S (0.3095, 0.1767, 0.0657)  4 O 1.42-1.56
O (0.7961, 0.7048, 0.7952)  1 Nb 1.80
O (0.2039, 0.7952, 0.2952)  1 Nb 1.80
O (0.7961, 0.2952, 0.2048)  1 Nb 1.80
O (0.2039, 0.2048, 0.7048)  1 Nb 1.80
O (0.4641, 0.5674, 0.0674)  1 S 1.47
O (0.5359, 0.9326, 0.5674)  1 S 1.47
O (0.4641, 0.4326, 0.9326)  1 S 1.47
O (0.5359, 0.0674, 0.4326)  1 S 1.47
O (0.2240, 0.5662, 0.9338)  1 S 1.48
O (0.7760, 0.9338, 0.4338)  1 S 1.48
O (0.2240, 0.4338, 0.0662)  1 S 1.48
O (0.7760, 0.0662, 0.5662)  1 S 1.48
O (0.0792, 0.3456, 0.8456)  1 S 1.45
O (0.9208, 0.1544, 0.3456)  1 S 1.45
O (0.0792, 0.6544, 0.1544)  1 S 1.45
O (0.9208, 0.8456, 0.6544)  1 S 1.45
O (0.7406, 0.3223, 0.8223)  1 S 1.46
O (0.2594, 0.1777, 0.3223)  1 S 1.46
O (0.7406, 0.6777, 0.1777)  1 S 1.46
O (0.2594, 0.8223, 0.6777)  1 S 1.46
O (0.8657, 0.4925, 0.8580)  1 S 1.50
O (0.1343, 0.0075, 0.3580)  1 S 1.50
O (0.8657, 0.5075, 0.1420)  1 S 1.50
O (0.1343, 0.9925, 0.6420)  1 S 1.50
O (0.1343, 0.8580, 0.5075)  1 S 1.50
O (0.8657, 0.6420, 0.0075)  1 S 1.50
O (0.1343, 0.1420, 0.4925)  1 S 1.50
O (0.8657, 0.3580, 0.9925)  1 S 1.50
O (0.4638, 0.6318, 0.7186)  1 S 1.48
O (0.5362, 0.8682, 0.2186)  1 S 1.48
O (0.4638, 0.3682, 0.2814)  1 S 1.48
O (0.5362, 0.1318, 0.7814)  1 S 1.48
O (0.5362, 0.7186, 0.3682)  1 S 1.48
O (0.4638, 0.7814, 0.8682)  1 S 1.48
O (0.5362, 0.2814, 0.6318)  1 S 1.48
O (0.4638, 0.2186, 0.1318)  1 S 1.48
O (0.3391, 0.4566, 0.7146)  1 S 1.49
O (0.6609, 0.0434, 0.2146)  1 S 1.49
O (0.3391, 0.5434, 0.2854)  1 S 1.49
O (0.6609, 0.9566, 0.7854)  1 S 1.49
O (0.6609, 0.7146, 0.5434)  1 S 1.49
O (0.3391, 0.7854, 0.0434)  1 S 1.49
O (0.6609, 0.2854, 0.4566)  1 S 1.49
O (0.3391, 0.2146, 0.9566)  1 S 1.49
O (0.2776, 0.5772, 0.5673)  1 S 1.42
O (0.7224, 0.9228, 0.0673)  1 S 1.42
O (0.2776, 0.4228, 0.4327)  1 S 1.42
O (0.7224, 0.0772, 0.9327)  1 S 1.42
O (0.7224, 0.5673, 0.4228)  1 S 1.42
O (0.2776, 0.9327, 0.9228)  1 S 1.42
O (0.7224, 0.4327, 0.5772)  1 S 1.42
O (0.2776, 0.0673, 0.0772)  1 S 1.42
O (0.1273, 0.6041, 0.7335)  1 S 1.56
O (0.8727, 0.8959, 0.2335)  1 S 1.56
O (0.1273, 0.3959, 0.2665)  1 S 1.56
O (0.8727, 0.1041, 0.7665)  1 S 1.56
O (0.8727, 0.7335, 0.3959)  1 S 1.56
O (0.1273, 0.7665, 0.8959)  1 S 1.56
O (0.8727, 0.2665, 0.6041)  1 S 1.56
O (0.1273, 0.2335, 0.1041)  1 S 1.56

Summary:
Symmetry = No. 113
ΔE_f (raw) = -1.84 eV per atom